Computed, not measured: a relaxed structure of KAlOs2 at the PBE level of DFT.

Geometry as POSCAR:
```
KAlOs2
1.0
4.846 -1.395 0.000
4.846 1.395 0.000
-1.330 0.000 6.558
K Al Os
1 1 2
direct
0.000 0.000 0.000
0.500 0.500 0.500
0.214 0.214 0.636
0.786 0.786 0.364
```

- DOS(E_F) (states/eV per cell) = 5.1
- symmetry = C2/m, No. 12
- V (Å³/atom) = 22.17
- energy (eV/atom) = -6.13